1.
Density functional theory data (SCAN) for a crystal of MnBeAg2 relaxed with PBEsol.

a = 2.760 Å, b = 2.760 Å, c = 7.008 Å
α = 90.00°, β = 90.00°, γ = 90.00°
Space group P4mm (No. 99)
Inequivalent atoms, fractional coordinates:
Mn1 0.000 0.000 0.000
Be1 0.500 0.500 0.813
Ag1 0.000 0.000 0.586
Ag2 0.500 0.500 0.279

**DOS at the Fermi energy**: 0.386 states/eV per atom

=====

2.
Density functional theory data (SCAN) for a crystal of Sr2HgRu relaxed with PBEsol.

a = 3.676 Å, b = 3.676 Å, c = 8.552 Å
α = 90.00°, β = 90.00°, γ = 90.00°
Space group P4mm (No. 99)
Inequivalent atoms, fractional coordinates:
Sr1 0.000 0.000 0.000
Sr2 0.500 0.500 0.417
Hg1 0.000 0.000 0.648
Ru1 0.500 0.500 0.762

**DOS at the Fermi energy**: 0.640 states/eV per atom

=====

3.
Density functional theory data (SCAN) for a crystal of Sr6Cu3P5 relaxed with PBEsol.

a = 9.843 Å, b = 9.843 Å, c = 8.186 Å
α = 90.00°, β = 90.00°, γ = 90.00°
Space group P4_2mc (No. 105)
Inequivalent atoms, fractional coordinates:
Sr1 0.000 0.000 0.000
Sr2 0.000 0.500 0.061
Sr3 0.258 0.307 0.716
Cu1 0.000 0.368 0.444
Cu2 0.500 0.500 0.480
P1 0.000 0.221 0.246
P2 0.000 0.500 0.661
P3 0.284 0.500 0.998

=====

4.
Density functional theory data (SCAN) for a crystal of KLa2Sc relaxed with PBEsol.

a = 8.223 Å, b = 8.223 Å, c = 8.223 Å
α = 90.00°, β = 90.00°, γ = 90.00°
Space group Fm-3m (No. 225)
Inequivalent atoms, fractional coordinates:
K1 0.000 0.000 0.000
La1 0.250 0.250 0.250
Sc1 0.000 0.000 0.500

**DOS at the Fermi energy**: 1.586 states/eV per atom

=====

no.,total DFT energy (no corrections) (eV/cell),total moment (Bohr magnetons per cell)
1,-85.3,3.26
2,-146.9,0.00
3,-488.9,0.00
4,-427.2,0.00